Entry 1:
Dy4BiS3: optimized geometry, GGA-PBE.

Cell: 7.028 7.028 7.028 Å, 131.43 131.43 71.13°
Element x y z (fractional)
Dy: 0.000 0.500 0.500
Dy: 0.234 0.234 0.000
Dy: 0.500 0.000 0.500
Dy: 0.766 0.766 0.000
Bi: 0.500 0.500 0.000
S: 0.000 0.000 0.000
S: 0.250 0.750 0.500
S: 0.750 0.250 0.500

Output
* total DFT energy (no corrections): -47.473 eV/f.u.

***

Entry 2:
Sm4HgOs: optimized geometry, GGA-PBE.

Cell: 7.835 7.835 6.322 Å, 98.64 98.64 112.61°
Element x y z (fractional)
Sm: 0.063 0.723 0.958
Sm: 0.206 0.363 0.594
Sm: 0.277 0.937 0.542
Sm: 0.363 0.206 0.094
Sm: 0.637 0.794 0.906
Sm: 0.723 0.063 0.458
Sm: 0.794 0.637 0.406
Sm: 0.937 0.277 0.042
Hg: 0.374 0.626 0.250
Hg: 0.626 0.374 0.750
Os: 0.001 0.999 0.750
Os: 0.999 0.001 0.250

Output
* total DFT energy (no corrections): -32.047 eV/f.u.
* calculated formation energy: -162 kJ/mol of formula units

***

Entry 3:
Li2Mg2In2CuNi: optimized geometry, GGA-PBE.

Cell: 4.492 4.492 6.374 Å, 90.00 90.00 90.00°
Element x y z (fractional)
Li: 0.000 0.000 0.000
Li: 0.500 0.500 0.500
Mg: 0.000 0.500 0.244
Mg: 0.500 0.000 0.756
In: 0.000 0.500 0.758
In: 0.500 0.000 0.242
Cu: 0.000 0.000 0.500
Ni: 0.500 0.500 0.000

Output
* total DFT energy (no corrections): -23.565 eV/f.u.